This record from Alexandria via LeMat-Bulk describes an optimized crystal structure of Mn2TcPd. The functional is GGA-PBE.

Cell lengths 3.0596, 3.0596, 6.1120 Å; angles 90.00, 90.00, 90.00 degrees
With the nearest neighbours (Å) after each atom.
Positions (direct):
Mn (0.0000, 0.0000, 0.2430)  4 Tc 2.62, 4 Pd 2.67
Mn (0.0000, 0.0000, 0.7570)  4 Tc 2.62, 4 Pd 2.67
Tc (0.5000, 0.5000, 0.0000)  8 Mn 2.62
Pd (0.5000, 0.5000, 0.5000)  8 Mn 2.67

Values from the calculation:
Crystal system: tetragonal
Energy of formation from the pure elements (eV per atom): -0.02
SG: P4/mmm (123)

=====

This record from Alexandria via LeMat-Bulk describes an optimized crystal structure of BeNbGe3. The functional is GGA-PBE.

Cell lengths 5.0234, 5.0234, 5.0234 Å; angles 90.00, 90.00, 90.00 degrees
With the nearest neighbours (Å) after each atom.
Positions (direct):
Be (0.0000, 0.0000, 0.0000)  12 Ge 3.55
Nb (0.5000, 0.5000, 0.5000)  6 Ge 2.51
Ge (0.0000, 0.5000, 0.5000)  2 Nb 2.51
Ge (0.5000, 0.0000, 0.5000)  2 Nb 2.51
Ge (0.5000, 0.5000, 0.0000)  2 Nb 2.51

Values from the calculation:
Crystal system: cubic
Energy of formation from the pure elements (eV per atom): 0.90
SG: Pm-3m (221)

=====

This record from Alexandria via LeMat-Bulk describes an optimized crystal structure of PaBe4Ni8. The functional is GGA-PBE.

Cell lengths 6.0076, 6.0076, 6.0076 Å; angles 98.37, 98.37, 135.13 degrees
With the nearest neighbours (Å) after each atom.
Positions (direct):
Pa (0.0000, 0.0000, 0.0000)  12 Ni 2.70-2.90, 8 Be 3.00
Be (0.0000, 0.0000, 0.5000)  8 Ni 2.28-2.39, 2 Be 2.29
Be (0.0000, 0.5000, 0.0000)  8 Ni 2.28-2.39, 2 Be 2.29
Be (0.5000, 0.0000, 0.0000)  8 Ni 2.28-2.39, 2 Be 2.29
Be (0.5000, 0.5000, 0.5000)  8 Ni 2.28-2.39, 2 Be 2.29
Ni (0.0000, 0.3443, 0.3443)  4 Be 2.39, 5 Ni 2.45-2.47
Ni (0.0000, 0.6557, 0.6557)  4 Be 2.39, 5 Ni 2.45-2.47
Ni (0.2735, 0.5000, 0.7735)  4 Be 2.28, 6 Ni 2.47-2.52
Ni (0.3443, 0.0000, 0.3443)  4 Be 2.39, 5 Ni 2.45-2.47
Ni (0.5000, 0.2735, 0.7735)  4 Be 2.28, 6 Ni 2.47-2.52
Ni (0.5000, 0.7265, 0.2265)  4 Be 2.28, 6 Ni 2.47-2.52
Ni (0.6557, 0.0000, 0.6557)  4 Be 2.39, 5 Ni 2.45-2.47
Ni (0.7265, 0.5000, 0.2265)  4 Be 2.28, 6 Ni 2.47-2.52

Values from the calculation:
Crystal system: tetragonal
Energy of formation from the pure elements (eV per atom): -0.40
SG: I4/mmm (139)

=====

This record from Alexandria via LeMat-Bulk describes an optimized crystal structure of Nb3InH. The functional is GGA-PBE.

Cell lengths 5.3938, 5.3938, 5.3938 Å; angles 89.09, 89.09, 89.09 degrees
With the nearest neighbours (Å) after each atom.
Positions (direct):
Nb (0.0018, 0.7500, 0.4982)  1 H 1.91
Nb (0.2500, 0.5018, 0.9982)  1 H 1.91
Nb (0.4982, 0.0018, 0.7500)  1 H 1.91
Nb (0.5018, 0.9982, 0.2500)  1 H 1.91
Nb (0.7500, 0.4982, 0.0018)  1 H 1.91
Nb (0.9982, 0.2500, 0.5018)  1 H 1.91
In (0.0000, 0.0000, 0.0000)  2 H 2.37
In (0.5000, 0.5000, 0.5000)  2 H 2.37
H (0.2500, 0.2500, 0.2500)  3 Nb 1.91
H (0.7500, 0.7500, 0.7500)  3 Nb 1.91

Values from the calculation:
Crystal system: trigonal
SG: R-3c (167)

=====

This record from Alexandria via LeMat-Bulk describes an optimized crystal structure of PrNd3Pd. The functional is GGA-PBE.

Cell lengths 8.4824, 7.1616, 10.7347 Å; angles 90.00, 108.00, 90.00 degrees
With the nearest neighbours (Å) after each atom.
Positions (direct):
Pr (0.1864, 0.0207, 0.2712)  8 Nd 3.39-3.75, 2 Pd 3.55-3.67
Pr (0.1864, 0.4793, 0.7712)  8 Nd 3.39-3.75, 2 Pd 3.55-3.67
Pr (0.8136, 0.5207, 0.2288)  8 Nd 3.39-3.75, 2 Pd 3.55-3.67
Pr (0.8136, 0.9793, 0.7288)  8 Nd 3.39-3.75, 2 Pd 3.55-3.67
Nd (0.0419, 0.7271, 0.0130)  1 Pd 3.05, 1 Nd 3.32, 1 Pr 3.39
Nd (0.0419, 0.7729, 0.5130)  1 Pd 3.05, 1 Nd 3.32, 1 Pr 3.39
Nd (0.2682, 0.0012, 0.8638)  2 Pd 2.97-3.04
Nd (0.2682, 0.4988, 0.3638)  2 Pd 2.97-3.04
Nd (0.4163, 0.1416, 0.6086)  3 Pd 2.96-3.14
Nd (0.4163, 0.3584, 0.1086)  3 Pd 2.96-3.14
Nd (0.5837, 0.6416, 0.8914)  3 Pd 2.96-3.14
Nd (0.5837, 0.8584, 0.3914)  3 Pd 2.96-3.14
Nd (0.7318, 0.5012, 0.6362)  2 Pd 2.97-3.04
Nd (0.7318, 0.9988, 0.1362)  2 Pd 2.97-3.04
Nd (0.9581, 0.2271, 0.4870)  1 Pd 3.05, 1 Nd 3.32, 1 Pr 3.39
Nd (0.9581, 0.2729, 0.9870)  1 Pd 3.05, 1 Nd 3.32, 1 Pr 3.39
Pd (0.4184, 0.7290, 0.6013)  6 Nd 2.96-3.14
Pd (0.4184, 0.7710, 0.1013)  6 Nd 2.96-3.14
Pd (0.5816, 0.2290, 0.8987)  6 Nd 2.96-3.14
Pd (0.5816, 0.2710, 0.3987)  6 Nd 2.96-3.14

Values from the calculation:
Crystal system: monoclinic
Energy of formation from the pure elements (eV per atom): -0.26
SG: P2_1/c (14)

=====

This record from Alexandria via LeMat-Bulk describes an optimized crystal structure of Tb2ErGe2. The functional is GGA-PBE.

Cell lengths 7.5677, 7.5677, 4.2650 Å; angles 90.00, 90.00, 90.00 degrees
With the nearest neighbours (Å) after each atom.
Positions (direct):
Tb (0.1731, 0.3269, 0.0000)  6 Ge 3.04-3.13
Tb (0.3269, 0.8269, 0.0000)  6 Ge 3.04-3.13
Tb (0.6731, 0.1731, 0.0000)  6 Ge 3.04-3.13
Tb (0.8269, 0.6731, 0.0000)  6 Ge 3.04-3.13
Er (0.0000, 0.0000, 0.5000)  4 Ge 2.99
Er (0.5000, 0.5000, 0.5000)  4 Ge 2.99
Ge (0.1251, 0.6251, 0.5000)  1 Ge 2.68, 2 Er 2.99
Ge (0.3749, 0.1251, 0.5000)  1 Ge 2.68, 2 Er 2.99
Ge (0.6251, 0.8749, 0.5000)  1 Ge 2.68, 2 Er 2.99
Ge (0.8749, 0.3749, 0.5000)  1 Ge 2.68, 2 Er 2.99

Values from the calculation:
Crystal system: tetragonal
Energy of formation from the pure elements (eV per atom): -0.79
SG: P4/mbm (127)

=====

Number 1: uncorrected energy -34.0 eV per formula unit, theoretical density 9.12 g/cm³. Number 2: uncorrected energy -23.2 eV per formula unit, theoretical density 4.19 g/cm³. Number 3: uncorrected energy -75.9 eV per formula unit, theoretical density 8.65 g/cm³. Number 4: uncorrected energy -36.6 eV per formula unit, theoretical density 8.35 g/cm³. Number 5: uncorrected energy -25.6 eV per formula unit, theoretical density 7.28 g/cm³. Number 6: uncorrected energy -27.0 eV per formula unit, theoretical density 8.57 g/cm³.